# 1
A plane-wave DFT calculation with PBE was carried out for a relaxed PrCd2Pb3 crystal.

CIF file:
```
data_PrCd2Pb3
_cell_length_a 4.653
_cell_length_b 4.876
_cell_length_c 7.858
_cell_angle_alpha 108.07
_cell_angle_beta 90.00
_cell_angle_gamma 90.00
_space_group_name_H-M_alt 'P 1'
_space_group_IT_number 1
loop_
_space_group_symop_operation_xyz
'x,y,z'
loop_
_atom_site_label
_atom_site_type_symbol
_atom_site_fract_x
_atom_site_fract_y
_atom_site_fract_z
Pb1 Pb 0.500 0.171 0.341
Pb2 Pb 0.500 0.500 0.000
Pb3 Pb 0.500 0.829 0.659
Cd1 Cd 0.000 0.332 0.663
Cd2 Cd 0.000 0.668 0.337
Pr1 Pr 0.000 0.000 0.000
```


# 2
A plane-wave DFT calculation with PBE was carried out for a relaxed Pr5Cd2Pb crystal.

CIF file:
```
data_Pr5Cd2Pb
_cell_length_a 8.157
_cell_length_b 8.157
_cell_length_c 9.665
_cell_angle_alpha 114.96
_cell_angle_beta 114.96
_cell_angle_gamma 90.00
_space_group_name_H-M_alt 'P 1'
_space_group_IT_number 1
loop_
_space_group_symop_operation_xyz
'x,y,z'
loop_
_atom_site_label
_atom_site_type_symbol
_atom_site_fract_x
_atom_site_fract_y
_atom_site_fract_z
Cd1 Cd 0.129 0.371 0.000
Cd2 Cd 0.871 0.629 0.000
Cd3 Cd 0.371 0.871 0.000
Cd4 Cd 0.629 0.129 0.000
Pb1 Pb 0.250 0.250 0.500
Pb2 Pb 0.750 0.750 0.500
Pr1 Pr 0.315 0.815 0.308
Pr2 Pr 0.685 0.185 0.692
Pr3 Pr 0.494 0.315 0.308
Pr4 Pr 0.000 0.000 0.000
Pr5 Pr 0.994 0.494 0.308
Pr6 Pr 0.506 0.685 0.692
Pr7 Pr 0.815 0.994 0.308
Pr8 Pr 0.006 0.506 0.692
Pr9 Pr 0.500 0.500 0.000
Pr10 Pr 0.185 0.006 0.692
```


# 3
A plane-wave DFT calculation with PBE was carried out for a relaxed Pr12CdPb3 crystal.

CIF file:
```
data_Pr12CdPb3
_cell_length_a 5.043
_cell_length_b 5.043
_cell_length_c 20.051
_cell_angle_alpha 90.00
_cell_angle_beta 90.00
_cell_angle_gamma 90.00
_space_group_name_H-M_alt 'P 1'
_space_group_IT_number 1
loop_
_space_group_symop_operation_xyz
'x,y,z'
loop_
_atom_site_label
_atom_site_type_symbol
_atom_site_fract_x
_atom_site_fract_y
_atom_site_fract_z
Pb1 Pb 0.000 0.000 0.751
Pb2 Pb 0.000 0.000 0.500
Pb3 Pb 0.000 0.000 0.249
Pr1 Pr 0.500 0.500 0.000
Pr2 Pr 0.500 0.500 0.500
Pr3 Pr 0.500 0.000 0.875
Pr4 Pr 0.000 0.500 0.375
Pr5 Pr 0.500 0.500 0.249
Pr6 Pr 0.000 0.500 0.875
Pr7 Pr 0.500 0.000 0.125
Pr8 Pr 0.000 0.500 0.125
Pr9 Pr 0.500 0.000 0.625
Pr10 Pr 0.500 0.500 0.751
Pr11 Pr 0.000 0.500 0.625
Pr12 Pr 0.500 0.000 0.375
Cd1 Cd 0.000 0.000 0.000
```


# 4
A plane-wave DFT calculation with PBE was carried out for a relaxed PrCdPb6 crystal.

CIF file:
```
data_PrCdPb6
_cell_length_a 5.015
_cell_length_b 6.919
_cell_length_c 6.919
_cell_angle_alpha 87.72
_cell_angle_beta 90.00
_cell_angle_gamma 90.00
_space_group_name_H-M_alt 'P 1'
_space_group_IT_number 1
loop_
_space_group_symop_operation_xyz
'x,y,z'
loop_
_atom_site_label
_atom_site_type_symbol
_atom_site_fract_x
_atom_site_fract_y
_atom_site_fract_z
Pr1 Pr 0.500 0.000 0.000
Pb1 Pb 0.500 0.500 0.000
Pb2 Pb 0.000 0.254 0.254
Pb3 Pb 0.000 0.746 0.746
Pb4 Pb 0.500 0.000 0.500
Pb5 Pb 0.000 0.265 0.735
Pb6 Pb 0.000 0.735 0.265
Cd1 Cd 0.500 0.500 0.500
```


no.,energy (eV/atom),ΔE_f (eV/atom)
1,-3.16,-0.208
2,-3.96,-0.281
3,-4.62,-0.288
4,-3.63,-0.142